{"formula": "CeErIn", "functional": "GGA-PBE", "state": "relaxed", "total_energy_ev_per_atom": -4.662, "dos_ef_per_ev_cell": 9.3, "e_form_mev_per_atom": -250, "lattice_angstrom": [[4.4160, 0.0000, 0.0000], [0.0000, 4.4160, 0.0000], [0.0000, 0.0000, 8.7038]], "species": ["In", "In", "Ce", "Ce", "Er", "Er"], "frac_coords": [[0.0000, 0.5000, 0.7796], [0.5000, 0.0000, 0.2204], [0.5000, 0.5000, 0.5000], [0.0000, 0.0000, 0.5000], [0.0000, 0.5000, 0.1399], [0.5000, 0.0000, 0.8601]]}

---

{"formula": "CaTcSb2Te", "functional": "GGA-PBE", "state": "relaxed", "formation_energy_uncorrected_mev_per_atom": 1540, "total_energy_ev_per_atom": -3.211, "dos_ef_per_ev_cell": 17.5, "lattice_angstrom": [[5.5397, 0.0000, 0.0000], [0.0000, 5.5397, 0.0000], [0.0000, 0.0000, 5.5258]], "species": ["Sb", "Sb", "Tc", "Te", "Ca"], "frac_coords": [[0.0000, 0.5000, 0.0000], [0.5000, 0.0000, 0.0000], [0.5000, 0.5000, 0.5000], [0.0000, 0.0000, 0.5000], [0.0000, 0.0000, 0.0000]]}

---

{"formula": "Li2TeCl", "functional": "GGA-PBE", "state": "relaxed", "formation_energy_uncorrected_mev_per_atom": -1176, "total_energy_ev_per_atom": -3.379, "dos_ef_per_ev_cell": 0.4, "lattice_angstrom": [[-4.8834, -4.3208, 3.4334], [-2.3683, -4.4614, 5.3658], [-1.3469, 3.0938, 1.9781]], "species": ["Cl", "Li", "Li", "Te"], "frac_coords": [[0.7820, 0.7820, 0.8747], [0.9435, 0.9435, 0.8757], [0.2338, 0.2338, 0.3739], [0.5408, 0.5408, 0.3757]]}

---

{"formula": "Er6PbO12", "functional": "GGA-PBE", "state": "relaxed", "formation_energy_uncorrected_mev_per_atom": -2947, "total_energy_ev_per_atom": -7.715, "dos_ef_per_ev_cell": 11.4, "lattice_angstrom": [[6.4085, 0.1610, -1.1893], [-1.4584, 6.2424, -1.1893], [0.1245, 0.1610, 6.5167]], "species": ["O", "O", "O", "O", "O", "O", "O", "O", "O", "O", "O", "O", "Er", "Er", "Er", "Er", "Er", "Er", "Pb"], "frac_coords": [[0.9395, 0.0667, 0.3220], [0.4352, 0.1788, 0.5804], [0.3220, 0.9395, 0.0667], [0.8212, 0.4196, 0.5648], [0.0667, 0.3220, 0.9395], [0.5804, 0.4352, 0.1788], [0.6780, 0.0605, 0.9333], [0.0605, 0.9333, 0.6780], [0.1788, 0.5804, 0.4352], [0.4196, 0.5648, 0.8212], [0.9333, 0.6780, 0.0605], [0.5648, 0.8212, 0.4196], [0.6979, 0.3921, 0.8606], [0.3921, 0.8606, 0.6979], [0.1394, 0.3021, 0.6079], [0.6079, 0.1394, 0.3021], [0.3021, 0.6079, 0.1394], [0.8606, 0.6979, 0.3921], [0.0000, 0.0000, 0.0000]]}

---

{"formula": "Ce2Pu2Ge4Pd", "functional": "GGA-PBE", "state": "relaxed", "total_energy_ev_per_atom": -7.541, "dos_ef_per_ev_cell": 21.9, "e_form_mev_per_atom": -408, "lattice_angstrom": [[-5.1694, -1.3408, -3.8052], [-0.0987, -2.8169, 5.9207], [0.5171, 6.2590, 1.8860]], "species": ["Ce", "Ce", "Pu", "Pu", "Ge", "Ge", "Ge", "Ge", "Pd"], "frac_coords": [[0.5000, 0.2500, 0.7500], [0.5000, 0.7500, 0.2500], [0.0000, 0.6733, 0.6733], [0.0000, 0.3267, 0.3267], [0.5073, 0.7537, 0.7537], [0.0000, 0.7537, 0.2463], [0.0000, 0.2463, 0.7537], [0.4927, 0.2463, 0.2463], [0.0000, 0.0000, 0.0000]]}

---

{"formula": "K4TeSe", "functional": "GGA-PBE", "state": "relaxed", "formation_energy_uncorrected_mev_per_atom": -1010, "total_energy_ev_per_atom": -2.846, "dos_ef_per_ev_cell": 0.0, "lattice_angstrom": [[-3.1976, 0.4907, 4.9583], [4.1129, -7.1548, 3.3618], [6.4258, 7.9100, -0.1744]], "species": ["Te", "Te", "K", "K", "K", "K", "K", "K", "K", "K", "Se", "Se"], "frac_coords": [[0.7486, 0.7500, 0.0000], [0.2514, 0.2500, 0.0000], [0.6772, 0.0491, 0.8520], [0.5612, 0.3910, 0.6245], [0.8253, 0.4508, 0.1480], [0.3228, 0.9509, 0.1480], [0.4388, 0.6090, 0.3755], [0.9366, 0.1089, 0.3755], [0.0634, 0.8911, 0.6245], [0.1747, 0.5492, 0.8520], [0.0000, 0.5000, 0.5000], [0.5000, 0.0000, 0.5000]]}